(1)
4
Lattice="4.1330 0.0000 0.0000 0.0000 4.1330 0.0000 0.0000 0.0000 4.3566" Properties=species:S:1:pos:R:3 comment="GGA-PBE PuGa2Si, optimized geometry" spacegroup="No. 123" magnetic_moment_mub_per_cell=5.17 energy_ev_per_cell=-27.25 raw_formation_energy_mev_per_atom=-361 relative_energy_ev_per_fu=0.000 pbc="T T T"
Pu 0.0000 0.0000 0.0000
Ga 0.0000 2.0665 2.1783
Ga 2.0665 0.0000 2.1783
Si 2.0665 2.0665 0.0000

(2)
8
Lattice="3.8899 0.0000 0.0000 0.0000 4.3791 0.0000 0.0000 0.0000 10.7625" Properties=species:S:1:pos:R:3 comment="GGA-PBE NdDySi2, optimized geometry" spacegroup="No. 38" magnetic_moment_mub_per_cell=0.00 energy_ev_per_cell=-46.68 raw_formation_energy_mev_per_atom=-781 relative_energy_ev_per_fu=0.000 pbc="T T T"
Nd 0.0000 0.0000 0.0000
Nd 0.0000 2.1896 5.3813
Dy 1.9450 0.0000 7.7483
Dy 1.9450 2.1896 2.3670
Si 0.0000 0.0000 3.0497
Si 0.0000 2.1896 8.4309
Si 1.9450 0.0000 4.6389
Si 1.9450 2.1896 10.0202